1.
# MnHgI2O | Alexandria via LeMat-Bulk | PBE+U | relaxed
# excess energy over the best structure of this formula in the dataset: 0.0 meV/atom
# uncorrected energy: -3.523 eV per atom
data_MnHgI2O
_cell_length_a 5.994
_cell_length_b 5.994
_cell_length_c 3.728
_cell_angle_alpha 90.00
_cell_angle_beta 90.00
_cell_angle_gamma 90.00
_symmetry_space_group_name_H-M 'P 1'
_symmetry_Int_Tables_number 1
_symmetry_space_group_name_Hall 'P 1'
loop_
_atom_site_label
_atom_site_type_symbol
_atom_site_fract_x
_atom_site_fract_y
_atom_site_fract_z
_atom_site_occupancy
Mn1 Mn 0.000 0.000 0.000 1
Hg1 Hg 0.500 0.500 0.500 1
I1 I 0.000 0.500 0.000 1
I2 I 0.500 0.000 0.000 1
O1 O 0.000 0.000 0.500 1

---

2.
# MnHgI2O | Alexandria via LeMat-Bulk | PBE+U | relaxed
# excess energy over the best structure of this formula in the dataset: 606.0 meV/atom
# uncorrected energy: -2.917 eV per atom
data_MnHgI2O
_cell_length_a 6.050
_cell_length_b 6.050
_cell_length_c 4.097
_cell_angle_alpha 90.00
_cell_angle_beta 90.00
_cell_angle_gamma 90.00
_symmetry_space_group_name_H-M 'P 1'
_symmetry_Int_Tables_number 1
_symmetry_space_group_name_Hall 'P 1'
loop_
_atom_site_label
_atom_site_type_symbol
_atom_site_fract_x
_atom_site_fract_y
_atom_site_fract_z
_atom_site_occupancy
Mn1 Mn 0.000 0.000 0.000 1
Hg1 Hg 0.500 0.500 0.500 1
I1 I 0.000 0.500 0.500 1
I2 I 0.500 0.000 0.500 1
O1 O 0.500 0.500 0.000 1

---

no.,total moment (μB/cell)
1,4.0
2,5.4